This record from Alexandria describes a relaxed structure of Ti3Mn2P6WO24. The functional is PBE with a Hubbard U.

Lattice parameters (Å, degrees): 8.7192 8.7192 21.3938 90.00 90.00 120.00
Space group R3 (No. 146, hexagonal axes)
Asymmetric unit:
Ti 0.0000 0.0000 0.0000 x3
Ti 0.0000 0.0000 0.2077 x3
Ti 0.0000 0.0000 0.5011 x3
Mn 0.0000 0.0000 0.3530 x3
Mn 0.0000 0.0000 0.8574 x3
P 0.0074 0.2946 0.1048 x9
P 0.0366 0.6674 0.2708 x9
W 0.0000 0.0000 0.7136 x3
O 0.0002 0.8098 0.5458 x9
O 0.0049 0.8286 0.2713 x9
O 0.0214 0.1971 0.1625 x9
O 0.0235 0.1961 0.7814 x9
O 0.1318 0.6795 0.3312 x9
O 0.1408 0.4730 0.7114 x9
O 0.1710 0.6895 0.5995 x9
O 0.1733 0.4825 0.0992 x9

Magnetic moment: 14.0 μB per formula unit
E_tot: -848.11 eV per cell